# 1
Density functional theory data (PBE) for a geometry-optimized Mg2PaGa6 structure.

The structure in POSCAR format:
```
Mg2PaGa6
1.0
-0.510 0.224 -3.100
-0.525 -7.919 -0.487
-6.517 4.339 1.387
Ga Mg Pa
6 2 1
direct
0.500 0.000 0.338 Ga
0.500 0.338 0.338 Ga
0.500 0.662 0.000 Ga
0.500 0.000 0.662 Ga
0.500 0.662 0.662 Ga
0.500 0.338 0.000 Ga
0.000 0.333 0.667 Mg
0.000 0.667 0.333 Mg
0.000 0.000 0.000 Pa
```

Its crystal system is hexagonal.

***

# 2
Density functional theory data (PBE) for a geometry-optimized TbHf3 structure.

The structure in POSCAR format:
```
TbHf3
1.0
-2.631 -1.757 -0.831
2.886 -2.789 -3.240
1.150 -3.722 4.229
Hf Tb
3 1
direct
0.000 0.000 0.987 Hf
0.500 0.500 0.830 Hf
0.500 0.000 0.520 Hf
0.000 0.500 0.330 Tb
```

Its crystal system is orthorhombic. As for the offset from the most stable computed form: 0.0 kJ per mole of atoms.

***

# 3
Density functional theory data (PBE) for a geometry-optimized CeScZn structure.

The structure in POSCAR format:
```
CeScZn
1.0
-3.186 0.319 -0.520
0.587 -1.458 -4.491
0.390 -8.180 2.707
Zn Sc Ce
2 2 2
direct
0.441 0.250 0.882 Zn
0.559 0.750 0.118 Zn
0.920 0.750 0.840 Sc
0.080 0.250 0.160 Sc
0.778 0.250 0.556 Ce
0.222 0.750 0.444 Ce
```

Its crystal system is orthorhombic. As for the offset from the most stable computed form: 0.0 kJ per mole of atoms.

***

# 4
Density functional theory data (PBE) for a geometry-optimized Sm2ErTm7 structure.

The structure in POSCAR format:
```
Sm2ErTm7
1.0
-4.416 -3.249 -2.653
0.959 -8.347 3.981
-3.152 8.584 1.693
Tm Sm Er
7 2 1
direct
0.500 0.700 0.799 Tm
0.500 0.300 0.201 Tm
0.999 0.799 0.199 Tm
0.999 0.599 0.399 Tm
0.001 0.201 0.801 Tm
0.500 0.500 0.000 Tm
0.001 0.401 0.601 Tm
0.499 0.100 0.400 Sm
0.501 0.900 0.600 Sm
0.000 0.000 0.000 Er
```

Its crystal system is triclinic. As for the offset from the most stable computed form: 0.0 kJ per mole of atoms.

***

Number 1: E_form -0.20 eV per atom, total magnetic moment 0.023 μB/atom. Number 2: E_form 0.10 eV per atom, total magnetic moment 0.000 μB/atom. Number 3: E_form -0.16 eV per atom, total magnetic moment 0.000 μB/atom. Number 4: E_form 0.03 eV per atom, total magnetic moment 0.000 μB/atom.